An optimized crystal structure of Ac6LaEr2. Source: Alexandria, functional PBE.

Lattice parameters (Å, degrees): 8.886 9.262 9.262 83.87 93.75 93.75
Atoms (fractional coordinates):
Ac (0.634, 0.584, 0.655)
Ac (0.866, 0.345, 0.416)
Ac (0.366, 0.416, 0.345)
Ac (0.134, 0.655, 0.584)
Ac (0.840, 0.895, 0.400)
Ac (0.660, 0.600, 0.105)
Ac (0.160, 0.105, 0.600)
Ac (0.340, 0.400, 0.895)
Ac (0.085, 0.674, 0.119)
Ac (0.415, 0.881, 0.326)
Ac (0.915, 0.326, 0.881)
Ac (0.585, 0.119, 0.674)
La (0.250, 0.037, 0.963)
La (0.750, 0.963, 0.037)
Er (0.408, 0.787, 0.852)
Er (0.092, 0.148, 0.213)
Er (0.592, 0.213, 0.148)
Er (0.908, 0.852, 0.787)

Volume   41.9 Å³/atom
Size of the total moment   0.0 μB/cell
Formation energy   4.6 kcal/mol of atoms